# 1
TaTl2Ag2 GGA-PBE relaxed; E_tot = -38.12 eV for the cell shown; formation energy = 646 meV/atom; magnetic moment = 0.000 μB/cell; mass density = 12.693 g cm⁻³; V = 211 Å³/cell
1.0
-7.4879 -1.6280 2.6714
0.2892 -7.2604 -3.6137
1.2284 -1.2774 2.6647
Tl Ag Ta
4 4 2
Cartesian
-4.2452 -7.6958 0.1895
-1.7251 -2.4700 1.5329
-5.4289 -4.2915 2.3671
-0.5414 -5.8742 -0.6447
-4.6129 -1.8869 1.2220
-6.4045 -5.9381 0.1059
-2.5858 -7.0015 -2.1643
-0.7942 -2.9503 -1.0482
0.0000 0.0000 0.0000
-3.5993 -4.4442 -0.4711

***

# 2
Rb4DyTm3Se8 GGA-PBE relaxed; raw formation energy = -1728 meV per atom; E_tot = -77.42 eV for the cell shown; magnetic moment = 0.000 μB/cell; mass density = 5.579 g cm⁻³; V = 489 Å³/cell
1.0
-1.0687 8.3395 -0.0581
0.2702 0.0998 9.3447
6.5929 -3.4210 -3.9425
Se Rb Tm Dy
8 4 3 1
Cartesian
5.7480 2.8573 2.6523
3.3416 0.4333 0.7333
0.0464 2.1610 2.6917
6.2781 -1.2789 2.6811
2.4528 4.5849 4.6107
3.0083 0.4178 4.6366
2.7861 4.6004 0.7075
-0.4837 6.2972 2.6629
-0.5344 4.1698 -0.0291
0.0000 0.0000 0.0000
2.7621 2.4592 -2.0003
3.2965 -1.7105 -1.9712
3.4316 -1.6606 2.7011
-0.3993 4.2196 4.6433
2.8972 2.5091 2.6720
0.1351 0.0499 4.6723

***

# 3
HfMg2Zr2 GGA-PBE relaxed; E_tot = -27.74 eV for the cell shown; formation energy = 499 meV/atom; magnetic moment = 0.000 μB/cell; mass density = 5.842 g cm⁻³; V = 116 Å³/cell
1.0
-2.5691 -2.7218 -1.3604
2.6606 -1.1454 -2.7329
2.7671 -6.8581 2.6669
Mg Zr Hf
2 2 1
Cartesian
2.3071 -7.8766 -0.2557
0.5515 -2.8488 -1.1707
0.1219 -5.7568 -0.3700
2.7367 -4.9686 -1.0563
0.0000 0.0000 0.0000

***

# 4
Tm3Pb4 GGA-PBE relaxed; E_tot = -61.13 eV for the cell shown; formation energy = -331 meV/atom; magnetic moment = 0.000 μB/cell; mass density = 10.981 g cm⁻³; V = 404 Å³/cell
1.0
4.4136 0.0000 0.0000
-2.2068 5.7729 -0.0011
0.0000 -0.0029 15.8534
Tm Pb
6 8
Cartesian
2.2068 4.7490 3.9715
0.0000 1.0469 11.8936
2.2068 1.8247 1.5485
0.0000 3.9753 14.3145
0.0000 3.9779 9.4780
2.2068 1.8153 6.3843
0.0000 4.1831 6.2025
0.0000 2.0135 3.9661
0.0000 0.0108 7.9318
2.2068 3.7824 11.8954
0.0000 4.1918 1.7369
0.0000 0.0153 0.0054
2.2068 1.6085 14.1270
2.2068 1.6105 9.6609

***

# 5
NbOs3F GGA-PBE relaxed; raw formation energy = 1131 meV per atom; E_tot = -39.97 eV for the cell shown; magnetic moment = 0.000 μB/cell; mass density = 15.168 g cm⁻³; V = 75 Å³/cell
1.0
4.2120 0.0000 0.0000
0.0000 4.2120 0.0000
0.0000 0.0000 4.2120
Os Nb F
3 1 1
Cartesian
2.1060 0.0000 0.0000
0.0000 2.1060 0.0000
0.0000 0.0000 2.1060
2.1060 2.1060 2.1060
0.0000 0.0000 0.0000

***

# 6
PtRh4Br GGA-PBE relaxed; raw formation energy = 743 meV per atom; E_tot = -32.66 eV for the cell shown; magnetic moment = 1.060 μB/cell; mass density = 11.543 g cm⁻³; V = 99 Å³/cell
1.0
0.0000 3.6689 3.6689
3.6689 0.0000 3.6689
3.6689 3.6689 0.0000
Br Rh Pt
1 4 1
Cartesian
5.5034 5.5034 5.5034
2.7511 2.7511 2.7511
2.7511 4.5867 4.5867
4.5867 2.7511 4.5867
4.5867 4.5867 2.7511
0.0000 0.0000 0.0000

***

# 7
VCdPb2 GGA-PBE relaxed; E_tot = -30.51 eV for the cell shown; formation energy = 549 meV/atom; magnetic moment = 6.529 μB/cell; mass density = 8.892 g cm⁻³; V = 216 Å³/cell
1.0
4.6602 0.0000 0.0000
0.0000 4.6602 0.0000
2.3301 2.3301 9.9361
Pb V Cd
4 2 2
Cartesian
5.8252 5.7542 7.4521
3.4242 1.1650 2.4840
1.2360 3.4951 2.4840
3.4951 3.5661 7.4521
2.3301 2.3301 0.0000
2.3301 4.6602 4.9681
0.0000 0.0000 0.0000
4.6602 2.3301 4.9681

***

# 8
Cd3AgPt GGA-PBE relaxed; E_tot = -24.78 eV for the cell shown; formation energy = -150 meV/atom; magnetic moment = 0.000 μB/cell; mass density = 10.552 g cm⁻³; V = 201 Å³/cell
1.0
-1.3117 -0.6752 4.5368
1.9871 -6.4392 -2.4479
6.3267 -2.8429 2.3194
Pt Ag Cd
2 2 6
Cartesian
2.3813 -5.4393 2.8401
0.6609 -3.3130 1.9226
2.9124 -2.3760 3.4057
6.4567 -9.2194 3.6763
-0.0744 -2.1337 4.4599
3.4512 -3.6657 0.8993
3.1158 -6.6184 0.3028
4.4614 -7.2335 3.3783
4.9070 -4.3627 3.7043
7.2294 -7.2542 1.6456

***

# 9
Zr6SnO GGA-PBE relaxed; raw formation energy = -755 meV per atom; E_tot = -66.29 eV for the cell shown; magnetic moment = 0.000 μB/cell; mass density = 6.852 g cm⁻³; V = 165 Å³/cell
1.0
-2.1493 -3.4176 3.4993
-4.1496 -4.4712 -1.9264
3.4186 -4.4579 -1.3373
Zr Sn O
6 1 1
Cartesian
-3.9740 -7.2150 1.6269
-1.0250 -8.9108 -1.0710
-1.8553 -3.4359 1.3065
0.4415 -2.2338 -0.0103
1.0937 -5.1317 -1.3913
-3.3218 -10.1130 0.2458
-1.4402 -6.1734 0.1178
0.0000 0.0000 0.0000

***

# 10
Tl2Hg2Br GGA-PBE relaxed; raw formation energy = -238 meV per atom; E_tot = -8.20 eV for the cell shown; magnetic moment = 0.000 μB/cell; mass density = 8.978 g cm⁻³; V = 165 Å³/cell
1.0
-2.3152 1.4812 -3.4105
-1.6704 -4.0037 -0.6049
-8.4986 0.6598 3.2430
Hg Tl Br
2 2 1
Cartesian
-6.4033 0.4399 -1.0877
-6.0809 -2.3026 0.3152
-3.2181 -0.8994 -1.0188
-9.2661 -0.9632 0.2464
0.0000 0.0000 0.0000

***

# 11
Tb2TmSc GGA-PBE relaxed; E_tot = -19.89 eV for the cell shown; formation energy = 43 meV/atom; magnetic moment = 0.000 μB/cell; mass density = 7.503 g cm⁻³; V = 118 Å³/cell
1.0
-0.0089 2.1948 2.7017
-2.9867 0.7514 1.6221
0.6370 -7.6274 8.4408
Tb Tm Sc
2 1 1
Cartesian
-1.7565 -3.5760 9.6264
-0.6020 -1.1052 3.1383
-1.1793 -2.3406 6.3823
0.0000 0.0000 0.0000

***

# 12
ThZrAgMo GGA-PBE relaxed; E_tot = -29.33 eV for the cell shown; formation energy = 79 meV/atom; magnetic moment = 0.000 μB/cell; mass density = 9.967 g cm⁻³; V = 88 Å³/cell
1.0
4.9891 0.0000 0.0000
2.4946 4.3207 0.0000
2.4946 1.4402 4.0736
Zr Ag Th Mo
1 1 1 1
Cartesian
0.0000 0.0000 0.0000
2.4946 1.4402 1.0184
4.9891 2.8805 2.0368
7.4837 4.3207 3.0552

***

# 13
TbPm3Ru3 GGA-PBE relaxed; E_tot = -96.27 eV for the cell shown; formation energy = -203 meV/atom; magnetic moment = 0.000 μB/cell; mass density = 8.976 g cm⁻³; V = 332 Å³/cell
1.0
6.7472 1.6406 0.4115
-1.5372 6.7715 0.4115
-0.3036 -0.4901 6.8370
Ru Tb Pm
6 2 6
Cartesian
5.7501 4.6573 5.7631
5.1347 8.2904 2.5199
-0.2282 -0.3684 5.1402
3.2986 0.6991 1.8969
1.6079 7.2228 5.7631
-0.8436 3.2646 1.8969
1.2268 1.9809 0.1979
3.6796 5.9411 7.4622
0.3543 5.2610 3.8300
0.5973 5.4495 0.4115
4.6127 2.9626 0.4115
1.1443 1.8476 3.6277
3.7622 6.0743 4.0324
4.5522 2.6610 3.8300

***

# 14
RbNa2Hg2 GGA-PBE relaxed; E_tot = -5.12 eV for the cell shown; formation energy = -182 meV/atom; magnetic moment = 0.000 μB/cell; mass density = 4.630 g cm⁻³; V = 191 Å³/cell
1.0
5.1913 0.0000 0.0000
0.0000 6.0973 -0.1419
-2.5957 -1.8989 6.0796
Hg Na Rb
2 2 1
Cartesian
2.5957 -0.1429 2.8069
0.0000 4.3413 3.1309
2.5957 2.8757 1.8357
0.0000 1.3227 4.1020
0.0000 0.0000 0.0000

***

# 15
BaPrI GGA-PBE relaxed; raw formation energy = -643 meV per atom; E_tot = -20.36 eV for the cell shown; magnetic moment = 0.039 μB/cell; mass density = 5.446 g cm⁻³; V = 247 Å³/cell
1.0
4.1459 0.0000 0.0000
-2.0730 3.5911 0.0000
0.0000 0.0000 16.5949
Ba I Pr
2 2 2
Cartesian
2.0730 0.8002 11.5150
2.0730 0.8002 5.0799
0.0000 1.9912 14.3380
0.0000 1.9912 2.2569
0.0000 2.0024 8.2975
2.0730 0.7934 0.0000

***

# 16
MgNiP2S GGA-PBE relaxed; raw formation energy = 470 meV per atom; E_tot = -19.97 eV for the cell shown; magnetic moment = 0.000 μB/cell; mass density = 3.243 g cm⁻³; V = 91 Å³/cell
1.0
-4.5955 0.9854 -0.4857
-0.1047 -2.1765 -3.4250
-1.0918 -3.8648 2.4894
P Mg S Ni
2 1 1 1
Cartesian
-2.2977 0.4927 -0.2428
-0.5459 -1.9324 1.2447
-2.8960 -2.5279 -0.7106
0.0000 0.0000 0.0000
-0.0524 -1.0883 -1.7125

***

# 17
LaPm3Ho3 GGA-PBE relaxed; E_tot = -65.46 eV for the cell shown; formation energy = 26 meV/atom; magnetic moment = 0.009 μB/cell; mass density = 7.533 g cm⁻³; V = 471 Å³/cell
1.0
-5.1948 -2.2663 -1.2305
4.3065 -7.6452 -4.0997
-2.1706 -0.1489 9.4377
Ho Pm La
6 6 2
Cartesian
-3.5966 -3.1600 0.5021
2.4071 -7.8916 -2.4609
-5.4659 -2.1688 6.5683
-2.6604 -7.7134 4.9366
0.5377 -6.9005 3.6053
-0.3984 -2.3470 -0.8292
-2.3639 -6.5214 1.4895
-0.6949 -3.5390 2.6179
-2.2350 -1.3876 5.1573
-2.0580 -5.3443 -1.9701
-1.0009 -4.7161 6.0776
-0.8238 -8.6728 -1.0498
0.8488 -5.7130 0.1051
-3.9076 -4.3474 4.0023

***

# 18
HoPaCoIr GGA-PBE relaxed; E_tot = -32.41 eV for the cell shown; formation energy = -592 meV/atom; magnetic moment = 0.000 μB/cell; mass density = 13.127 g cm⁻³; V = 82 Å³/cell
1.0
3.6467 0.0000 0.0000
0.0000 4.2277 0.0000
-1.8233 0.0000 5.3096
Pa Co Ho Ir
1 1 1 1
Cartesian
0.0000 0.0000 1.3253
0.0000 0.0000 4.5266
1.8233 2.1139 3.8113
1.8233 2.1139 0.9561

***

# 19
Pa3Co4Si4 GGA-PBE relaxed; raw formation energy = -746 meV per atom; E_tot = -86.81 eV for the cell shown; magnetic moment = 0.000 μB/cell; mass density = 9.741 g cm⁻³; V = 177 Å³/cell
1.0
-3.7123 1.0650 1.0166
-1.3184 -3.2956 -1.3618
3.9781 -3.8090 10.6732
Co Si Pa
4 4 3
Cartesian
-0.6765 -3.4387 8.9764
0.7342 -2.4716 5.2705
-0.3761 -2.6009 1.3515
-1.7867 -3.5680 5.0574
1.3145 -4.4251 9.4362
-0.9686 -2.4553 6.8794
-2.3670 -1.6145 0.8918
-0.0839 -3.5843 3.4486
0.0000 0.0000 0.0000
0.3708 -5.1152 6.7130
-1.4234 -0.9244 3.6150

***

# 20
CeHoPuSc GGA-PBE relaxed; E_tot = -30.20 eV for the cell shown; formation energy = 243 meV/atom; magnetic moment = 6.637 μB/cell; mass density = 8.684 g cm⁻³; V = 114 Å³/cell
1.0
5.4359 0.0000 0.0000
2.7180 4.7077 0.0000
2.7180 1.5692 4.4384
Ce Sc Pu Ho
1 1 1 1
Cartesian
0.0000 0.0000 0.0000
2.7180 1.5692 1.1096
5.4359 3.1384 2.2192
8.1539 4.7077 3.3288